Entry from Alexandria: a relaxed MnInAsOs2 crystal (PBE-GGA).

Properties
ΔE_f = 1.380 eV per atom
E = -6.42 eV/atom
calculated volume = 19.11 A^3/atom

Lattice parameters (Å, degrees): 4.484 4.484 4.752 90.00 90.00 90.00
Space group P4/mmm (No. 123)
Symmetry-distinct sites (fractional):
Mn1 0.000 0.000 0.000 [1 per cell]
In1 0.000 0.000 0.500 [1 per cell]
As1 0.500 0.500 0.500 [1 per cell]
Os1 0.000 0.500 0.000 [2 per cell]